Entry 1:
Crystalline Ti4CuO2 at its relaxed geometry. Source: Alexandria, functional GGA-PBE.

Cell: 5.371 5.371 10.581 Å, 90.00 90.00 145.92°
Element x y z (fractional)
Ti 0.000 0.000 0.000
Ti 0.000 0.000 0.500
Ti 0.259 0.741 0.606
Ti 0.259 0.741 0.894
Ti 0.423 0.577 0.250
Ti 0.577 0.423 0.750
Ti 0.741 0.259 0.106
Ti 0.741 0.259 0.394
Cu 0.114 0.886 0.250
Cu 0.886 0.114 0.750
O 0.372 0.628 0.061
O 0.372 0.628 0.439
O 0.628 0.372 0.561
O 0.628 0.372 0.939

Values from the calculation:
E_form (uncorrected)	-1.53	eV per atom
SG	No. 63
spin magnetization	0.0	μB per formula unit
DOS(E_F)	6.92	states/eV/cell



Entry 2:
Crystalline Ti4CuO at its relaxed geometry. Source: Alexandria, functional GGA-PBE.

Cell: 6.853 4.699 6.259 Å, 90.00 114.37 90.00°
Element x y z (fractional)
Ti 0.130 0.248 0.308
Ti 0.130 0.252 0.808
Ti 0.257 0.720 0.118
Ti 0.257 0.780 0.618
Ti 0.743 0.220 0.382
Ti 0.743 0.280 0.882
Ti 0.870 0.748 0.192
Ti 0.870 0.752 0.692
Cu 0.500 0.000 0.000
Cu 0.500 0.500 0.500
O 0.000 0.000 0.000
O 0.000 0.500 0.500

Values from the calculation:
E_form (uncorrected)	-0.65	eV per atom
SG	No. 14
spin magnetization	0.0	μB per formula unit
DOS(E_F)	13.09	states/eV/cell



Entry 3:
Crystalline Ti3CuO at its relaxed geometry. Source: Alexandria, functional GGA-PBE.

Cell: 4.071 4.071 4.071 Å, 90.00 90.00 90.00°
Element x y z (fractional)
Ti 0.000 0.000 0.500
Ti 0.000 0.500 0.000
Ti 0.500 0.000 0.000
Cu 0.500 0.500 0.500
O 0.000 0.000 0.000

Values from the calculation:
E_form (uncorrected)	-1.08	eV per atom
SG	No. 221
spin magnetization	0.7	μB per formula unit
DOS(E_F)	4.07	states/eV/cell



Entry 4:
Crystalline TiCu3O at its relaxed geometry. Source: Alexandria, functional GGA-PBE.

Cell: 4.042 4.042 4.042 Å, 90.00 90.00 90.00°
Element x y z (fractional)
Ti 0.000 0.000 0.000
Cu 0.000 0.500 0.500
Cu 0.500 0.000 0.500
Cu 0.500 0.500 0.000
O 0.500 0.500 0.500

Values from the calculation:
E_form (uncorrected)	0.21	eV per atom
SG	No. 221
spin magnetization	1.8	μB per formula unit
energy above the lowest structure with this stoichiometry	0	meV/atom
DOS(E_F)	5.56	states/eV/cell



Entry 5:
Crystalline TiCuO2 at its relaxed geometry. Source: Alexandria, functional GGA-PBE.

Cell: 5.843 5.843 5.843 Å, 134.34 134.34 66.55°
Element x y z (fractional)
Ti 0.000 0.000 0.000
Ti 0.750 0.250 0.500
Cu 0.250 0.750 0.500
Cu 0.500 0.500 0.000
O 0.087 0.625 0.962
O 0.375 0.337 0.462
O 0.663 0.125 0.038
O 0.875 0.913 0.538

Values from the calculation:
E_form (uncorrected)	-1.70	eV per atom
SG	No. 122
spin magnetization	0.8	μB per formula unit
DOS(E_F)	4.99	states/eV/cell



Entry 6:
Crystalline TiCu3O4 at its relaxed geometry. Source: Alexandria, functional GGA-PBE.

Cell: 3.017 3.017 11.595 Å, 90.00 90.00 120.00°
Element x y z (fractional)
Ti 0.000 0.000 0.000
Cu 0.000 0.000 0.500
Cu 0.333 0.667 0.255
Cu 0.667 0.333 0.745
O 0.333 0.667 0.092
O 0.333 0.667 0.410
O 0.667 0.333 0.590
O 0.667 0.333 0.908

Values from the calculation:
E_form (uncorrected)	-1.23	eV per atom
SG	No. 164
spin magnetization	1.9	μB per formula unit
DOS(E_F)	4.94	states/eV/cell



Entry 7:
Crystalline Ti3Cu3O at its relaxed geometry. Source: Alexandria, functional GGA-PBE.

Cell: 7.949 7.949 7.949 Å, 60.00 60.00 60.00°
Element x y z (fractional)
Ti 0.061 0.061 0.689
Ti 0.061 0.689 0.061
Ti 0.061 0.689 0.689
Ti 0.311 0.311 0.939
Ti 0.311 0.939 0.311
Ti 0.311 0.939 0.939
Ti 0.689 0.061 0.061
Ti 0.689 0.061 0.689
Ti 0.689 0.689 0.061
Ti 0.939 0.311 0.311
Ti 0.939 0.311 0.939
Ti 0.939 0.939 0.311
Cu 0.000 0.500 0.500
Cu 0.290 0.290 0.290
Cu 0.290 0.290 0.629
Cu 0.290 0.629 0.290
Cu 0.371 0.710 0.710
Cu 0.500 0.000 0.500
Cu 0.500 0.500 0.000
Cu 0.500 0.500 0.500
Cu 0.629 0.290 0.290
Cu 0.710 0.371 0.710
Cu 0.710 0.710 0.371
Cu 0.710 0.710 0.710
O 0.000 0.000 0.000
O 0.000 0.000 0.500
O 0.000 0.500 0.000
O 0.500 0.000 0.000

Values from the calculation:
E_form (uncorrected)	-0.84	eV per atom
SG	No. 227
spin magnetization	0.0	μB per formula unit
DOS(E_F)	26.11	states/eV/cell



Entry 8:
Crystalline Ti3CuO at its relaxed geometry. Source: Alexandria, functional GGA-PBE.

Cell: 5.203 5.203 7.243 Å, 111.43 111.43 47.56°
Element x y z (fractional)
Ti 0.115 0.115 0.213
Ti 0.145 0.145 0.651
Ti 0.361 0.361 0.072
Ti 0.639 0.639 0.928
Ti 0.855 0.855 0.349
Ti 0.885 0.885 0.787
Cu 0.398 0.398 0.566
Cu 0.602 0.602 0.434
O 0.121 0.121 0.924
O 0.879 0.879 0.076

Values from the calculation:
E_form (uncorrected)	-1.08	eV per atom
SG	No. 12
spin magnetization	0.0	μB per formula unit
DOS(E_F)	6.26	states/eV/cell



Entry 9:
Crystalline Ti3CuO at its relaxed geometry. Source: Alexandria, functional GGA-PBE.

Cell: 7.247 3.083 11.834 Å, 90.00 90.00 90.00°
Element x y z (fractional)
Ti 0.021 0.250 0.107
Ti 0.170 0.250 0.506
Ti 0.205 0.750 0.289
Ti 0.295 0.250 0.789
Ti 0.330 0.750 0.006
Ti 0.479 0.750 0.607
Ti 0.521 0.250 0.393
Ti 0.670 0.250 0.994
Ti 0.705 0.750 0.211
Ti 0.795 0.250 0.711
Ti 0.830 0.750 0.494
Ti 0.979 0.750 0.893
Cu 0.079 0.750 0.673
Cu 0.421 0.250 0.173
Cu 0.579 0.750 0.827
Cu 0.921 0.250 0.327
O 0.158 0.250 0.948
O 0.342 0.750 0.448
O 0.658 0.250 0.552
O 0.842 0.750 0.052

Values from the calculation:
E_form (uncorrected)	-1.10	eV per atom
SG	No. 62
spin magnetization	0.0	μB per formula unit
DOS(E_F)	19.70	states/eV/cell



Entry 10:
Crystalline TiCu2O at its relaxed geometry. Source: Alexandria, functional GGA-PBE.

Cell: 5.377 5.377 5.377 Å, 98.17 98.17 135.71°
Element x y z (fractional)
Ti 0.000 0.000 0.000
Ti 0.750 0.250 0.500
Cu 0.202 0.625 0.077
Cu 0.375 0.452 0.577
Cu 0.548 0.125 0.923
Cu 0.875 0.798 0.423
O 0.250 0.750 0.500
O 0.500 0.500 0.000

Values from the calculation:
E_form (uncorrected)	-0.51	eV per atom
SG	No. 122
spin magnetization	0.0	μB per formula unit
DOS(E_F)	0.77	states/eV/cell



Entry 11:
Crystalline TiCu3O4 at its relaxed geometry. Source: Alexandria, functional GGA-PBE.

Cell: 6.098 6.098 7.320 Å, 124.97 124.97 28.21°
Element x y z (fractional)
Ti 0.000 0.000 0.000
Cu 0.243 0.243 0.530
Cu 0.317 0.317 0.165
Cu 0.640 0.640 0.778
O 0.192 0.192 0.234
O 0.455 0.455 0.123
O 0.502 0.502 0.821
O 0.768 0.768 0.713

Values from the calculation:
E_form (uncorrected)	-1.36	eV per atom
SG	No. 8
spin magnetization	0.0	μB per formula unit
DOS(E_F)	4.66	states/eV/cell



Entry 12:
Crystalline TiCu3O at its relaxed geometry. Source: Alexandria, functional GGA-PBE.

Cell: 4.621 4.621 4.621 Å, 90.00 90.00 90.00°
Element x y z (fractional)
Ti 0.000 0.000 0.000
Cu 0.000 0.000 0.500
Cu 0.000 0.500 0.000
Cu 0.500 0.000 0.000
O 0.500 0.500 0.500

Values from the calculation:
E_form (uncorrected)	1.72	eV per atom
SG	No. 221
spin magnetization	1.3	μB per formula unit
energy above the lowest structure with this stoichiometry	1508	meV/atom
DOS(E_F)	5.16	states/eV/cell



Among the records above, which one has the highest E_form (uncorrected)? number 12